(1)
Entry from the Alexandria database: a relaxed structure of Mn4P5 (PBE).

a = 6.2997 Å, b = 6.2997 Å, c = 6.2997 Å
α = 93.75°, β = 93.75°, γ = 150.38°
Site moments in Bohr magnetons follow the coordinates.
Sites, in units of the cell vectors:
1 Mn 0.3143 0.0000 0.3143  2.93
2 Mn 0.0000 0.3143 0.3143  2.93
3 Mn 0.6857 0.0000 0.6857  2.93
4 Mn 0.0000 0.6857 0.6857  2.93
5 P 0.3218 0.6782 0.0000  -0.03
6 P 0.6782 0.6782 0.3564  -0.03
7 P 0.0000 0.0000 0.0000  -0.09
8 P 0.3218 0.3218 0.6436  -0.03
9 P 0.6782 0.3218 0.0000  -0.03

Results
- formation energy from the elements (eV/atom) = 0.22
- space-group type = I4/mmm (139)


(2)
Entry from the Alexandria database: a relaxed structure of RbNbPd3 (PBE).

a = 4.9698 Å, b = 4.9698 Å, c = 4.9698 Å
α = 90.00°, β = 90.00°, γ = 90.00°
Sites, in units of the cell vectors:
1 Rb 0.0000 0.0000 0.0000
2 Pd 0.0000 0.5000 0.0000
3 Pd 0.0000 0.0000 0.5000
4 Pd 0.5000 0.0000 0.0000
5 Nb 0.5000 0.5000 0.5000

Results
- formation energy from the elements (eV/atom) = 2.04
- space-group type = Pm-3m (221)


(3)
Entry from the Alexandria database: a relaxed structure of NaYHf3 (PBE).

a = 5.3339 Å, b = 5.3339 Å, c = 5.3339 Å
α = 90.00°, β = 90.00°, γ = 90.00°
Sites, in units of the cell vectors:
1 Hf 0.5000 0.0000 0.0000
2 Hf 0.0000 0.5000 0.0000
3 Hf 0.0000 0.0000 0.5000
4 Y 0.0000 0.0000 0.0000
5 Na 0.5000 0.5000 0.5000

Results
- formation energy from the elements (eV/atom) = 1.56
- space-group type = Pm-3m (221)


(4)
Entry from the Alexandria database: a relaxed structure of Li2YAl (PBE).

a = 5.6443 Å, b = 5.6443 Å, c = 5.6443 Å
α = 142.27°, β = 127.25°, γ = 66.66°
Sites, in units of the cell vectors:
1 Li 0.4722 0.4722 0.0000
2 Li 0.0278 0.0278 0.0000
3 Al 0.2500 0.7500 0.5000
4 Y 0.7500 0.2500 0.5000

Results
- formation energy from the elements (eV/atom) = -0.08
- space-group type = Immm (71)


(5)
Entry from the Alexandria database: a relaxed structure of TiFe2Te (PBE).

a = 3.8806 Å, b = 3.8806 Å, c = 9.4109 Å
α = 78.10°, β = 78.10°, γ = 90.00°
Site moments in Bohr magnetons follow the coordinates.
Sites, in units of the cell vectors:
1 Te 0.0000 0.0000 0.0000  0.01
2 Te 0.7500 0.2500 0.5000  0.01
3 Ti 0.2500 0.7500 0.5000  -0.65
4 Ti 0.5000 0.5000 0.0000  -0.67
5 Fe 0.8750 0.8591 0.7500  2.36
6 Fe 0.6091 0.1250 0.2500  2.37
7 Fe 0.1409 0.6250 0.2500  2.37
8 Fe 0.3750 0.3909 0.7500  2.36

Results
- space-group type = I-42d (122)
- ΔE_f (raw) (kJ/mol of formula units) = 113


(6)
Entry from the Alexandria database: a relaxed structure of Hf6Sb2Te (PBE).

a = 5.5734 Å, b = 8.0799 Å, c = 9.1092 Å
α = 90.00°, β = 93.93°, γ = 90.00°
Sites, in units of the cell vectors:
1 Hf 0.9294 0.6838 0.9273
2 Hf 0.5977 0.1623 0.9386
3 Hf 0.9023 0.6623 0.5614
4 Hf 0.4294 0.8162 0.4273
5 Hf 0.0977 0.3377 0.4386
6 Hf 0.5915 0.4834 0.3181
7 Hf 0.5706 0.1838 0.5727
8 Hf 0.9085 0.9834 0.1819
9 Hf 0.0915 0.0166 0.8181
10 Hf 0.0706 0.3162 0.0727
11 Hf 0.4023 0.8377 0.0614
12 Hf 0.4085 0.5166 0.6819
13 Sb 0.5704 0.8709 0.7459
14 Sb 0.9296 0.3709 0.7541
15 Sb 0.0704 0.6291 0.2459
16 Sb 0.4296 0.1291 0.2541
17 Te 0.0000 0.0000 0.5000
18 Te 0.5000 0.5000 0.0000

Results
- space-group type = P2_1/c (14)
- ΔE_f (raw) (kJ/mol of formula units) = -267


(7)
Entry from the Alexandria database: a relaxed structure of CsLaHf2 (PBE).

a = 4.4760 Å, b = 4.4760 Å, c = 12.3793 Å
α = 79.58°, β = 79.58°, γ = 90.00°
Sites, in units of the cell vectors:
1 Hf 0.3750 0.3627 0.7500
2 Hf 0.8750 0.8873 0.7500
3 Hf 0.1127 0.6250 0.2500
4 Hf 0.6373 0.1250 0.2500
5 La 0.0000 0.0000 0.0000
6 La 0.7500 0.2500 0.5000
7 Cs 0.2500 0.7500 0.5000
8 Cs 0.5000 0.5000 0.0000

Results
- formation energy from the elements (eV/atom) = 1.21
- space-group type = I-42d (122)


(8)
Entry from the Alexandria database: a relaxed structure of Tm5CuSb4 (PBE).

a = 6.0611 Å, b = 7.4164 Å, c = 7.4164 Å
α = 80.39°, β = 65.88°, γ = 65.88°
Sites, in units of the cell vectors:
1 Sb 0.8011 0.7960 0.6027
2 Sb 0.5971 0.6027 0.2040
3 Sb 0.1999 0.2040 0.3973
4 Sb 0.4038 0.3973 0.7960
5 Tm 0.5033 0.0000 0.0000
6 Tm 0.1028 0.6014 0.1940
7 Tm 0.8982 0.3986 0.8060
8 Tm 0.2968 0.8060 0.6014
9 Tm 0.7042 0.1940 0.3986
10 Cu 0.0031 0.0000 0.0000

Results
- space-group type = I4 (79)
- ΔE_f (raw) (kJ/mol of formula units) = -745


(9)
Entry from the Alexandria database: a relaxed structure of Tl2AgPd9 (PBE).

a = 4.0651 Å, b = 4.0651 Å, c = 12.1012 Å
α = 90.00°, β = 90.00°, γ = 90.00°
Sites, in units of the cell vectors:
1 Pd 0.5000 0.0000 0.8379
2 Pd 0.5000 0.0000 0.1621
3 Pd 0.0000 0.5000 0.8379
4 Pd 0.5000 0.0000 0.5000
5 Pd 0.0000 0.5000 0.5000
6 Pd 0.5000 0.5000 0.3301
7 Pd 0.0000 0.5000 0.1621
8 Pd 0.5000 0.5000 0.6699
9 Pd 0.5000 0.5000 0.0000
10 Tl 0.0000 0.0000 0.6692
11 Tl 0.0000 0.0000 0.3308
12 Ag 0.0000 0.0000 0.0000

Results
- formation energy from the elements (eV/atom) = -0.12
- space-group type = P4/mmm (123)


(10)
Entry from the Alexandria database: a relaxed structure of CaZnTc2 (PBE).

a = 2.6960 Å, b = 2.6960 Å, c = 9.1714 Å
α = 90.00°, β = 90.00°, γ = 90.00°
Sites, in units of the cell vectors:
1 Zn 0.5000 0.5000 0.2500
2 Tc 0.0000 0.0000 0.0284
3 Tc 0.0000 0.0000 0.4716
4 Ca 0.5000 0.5000 0.7500

Results
- formation energy from the elements (eV/atom) = 0.49
- space-group type = P4/mmm (123)


(11)
Entry from the Alexandria database: a relaxed structure of TcRh2 (PBE).

a = 4.7383 Å, b = 4.3556 Å, c = 8.2529 Å
α = 90.00°, β = 90.00°, γ = 90.00°
Sites, in units of the cell vectors:
1 Rh 0.3303 0.7500 0.0010
2 Rh 0.1697 0.2500 0.5010
3 Rh 0.8369 0.7500 0.8346
4 Rh 0.6697 0.2500 0.9990
5 Rh 0.8303 0.7500 0.4990
6 Rh 0.1631 0.2500 0.1654
7 Rh 0.3369 0.7500 0.6654
8 Rh 0.6631 0.2500 0.3346
9 Tc 0.8283 0.7500 0.1678
10 Tc 0.6717 0.2500 0.6678
11 Tc 0.1717 0.2500 0.8322
12 Tc 0.3283 0.7500 0.3322

Results
- formation energy from the elements (eV/atom) = -0.13
- space-group type = Pnma (62)


(12)
Entry from the Alexandria database: a relaxed structure of PmPuAsH (PBE).

a = 4.8999 Å, b = 4.8999 Å, c = 4.8999 Å
α = 60.00°, β = 60.00°, γ = 60.00°
Site moments in Bohr magnetons follow the coordinates.
Sites, in units of the cell vectors:
1 Pm 0.2500 0.2500 0.2500  0.47
2 As 0.0000 0.0000 0.0000  -0.07
3 H 0.5000 0.5000 0.5000  -0.03
4 Pu 0.7500 0.7500 0.7500  5.69

Results
- space-group type = F-43m (216)
- DFT total energy (eV/atom) = -7.282


(13)
Entry from the Alexandria database: a relaxed structure of TbAgPdPb (PBE).

a = 4.9616 Å, b = 4.9616 Å, c = 4.9616 Å
α = 60.00°, β = 60.00°, γ = 60.00°
Sites, in units of the cell vectors:
1 Pb 0.5000 0.5000 0.5000
2 Tb 0.0000 0.0000 0.0000
3 Ag 0.2500 0.2500 0.2500
4 Pd 0.7500 0.7500 0.7500

Results
- formation energy from the elements (eV/atom) = -0.48
- space-group type = F-43m (216)


Let's list Fermi-level density of states in order: 6.44 21.96 8.29 2.06 4.27 5.89 6.28 6.91 15.95 2.94 3.44 8.96 2.52 states/eV/f.u..